Below is an optimized crystal structure of Zn6HgAu12, with properties calculated at the PBE-GGA level.

a = 7.5864 Å, b = 7.5864 Å, c = 7.5864 Å
α = 107.64°, β = 107.64°, γ = 107.64°
With the nearest neighbours (Å) after each atom.
Fractional positions:
Zn 0.2936 0.2936 0.6991  7 Au 2.64-2.76
Zn 0.2936 0.6991 0.2936  7 Au 2.64-2.76
Zn 0.3009 0.7064 0.7064  7 Au 2.64-2.76
Zn 0.6991 0.2936 0.2936  7 Au 2.64-2.76
Zn 0.7064 0.3009 0.7064  7 Au 2.64-2.76
Zn 0.7064 0.7064 0.3009  7 Au 2.64-2.76
Hg 0.0000 0.0000 0.0000  6 Au 2.89
Au 0.1194 0.5000 0.8806  4 Zn 2.67-2.69, 5 Au 2.86-2.93
Au 0.1194 0.8806 0.5000  4 Zn 2.67-2.69, 5 Au 2.86-2.93
Au 0.1256 0.3642 0.3642  3 Zn 2.64-2.76, 4 Au 2.86-2.92, 1 Hg 2.89
Au 0.3642 0.1256 0.3642  3 Zn 2.64-2.76, 4 Au 2.86-2.92, 1 Hg 2.89
Au 0.3642 0.3642 0.1256  3 Zn 2.64-2.76, 4 Au 2.86-2.92, 1 Hg 2.89
Au 0.5000 0.1194 0.8806  4 Zn 2.67-2.69, 5 Au 2.86-2.93
Au 0.5000 0.8806 0.1194  4 Zn 2.67-2.69, 5 Au 2.86-2.93
Au 0.6358 0.6358 0.8744  3 Zn 2.64-2.76, 4 Au 2.86-2.92, 1 Hg 2.89
Au 0.6358 0.8744 0.6358  3 Zn 2.64-2.76, 4 Au 2.86-2.92, 1 Hg 2.89
Au 0.8744 0.6358 0.6358  3 Zn 2.64-2.76, 4 Au 2.86-2.92, 1 Hg 2.89
Au 0.8806 0.1194 0.5000  4 Zn 2.67-2.69, 5 Au 2.86-2.93
Au 0.8806 0.5000 0.1194  4 Zn 2.67-2.69, 5 Au 2.86-2.93

Values from the calculation:
**Calculated density**: 13.75 g cm⁻³
**Energy relative to the elements**: -0.08 eV/atom
**SG**: R-3m